Record 1
## CdPPd5 (SCAN)

Data for a crystal of CdPPd5 relaxed with PBEsol.

The total energy comes out at -208.1 eV/cell. The formation energy is -3.46 eV per formula unit.

a b c (Å): 3.907 3.907 6.914
angles (deg): 90.00 90.00 90.00
Space group P4/mmm (No. 123)
Inequivalent atoms, fractional coordinates:
Cd (0.000, 0.000, 0.000)
P (0.500, 0.500, 0.500)
Pd (0.000, 0.500, 0.300)
Pd (0.500, 0.500, 0.000)

***

Record 2
## CdRe2PPd (SCAN)

Data for a crystal of CdRe2PPd relaxed with PBEsol.

The total energy comes out at -210.5 eV/cell. The formation energy is 5.30 eV per formula unit.

a b c (Å): 4.327 4.327 4.707
angles (deg): 90.00 90.00 90.00
Space group P4/mmm (No. 123)
Inequivalent atoms, fractional coordinates:
Cd (0.000, 0.000, 0.000)
Re (0.000, 0.500, 0.500)
P (0.000, 0.000, 0.500)
Pd (0.500, 0.500, 0.000)

***

Record 3
## PrCd3P3 (SCAN)

Data for a crystal of PrCd3P3 relaxed with PBEsol.

The total energy comes out at -339.8 eV/cell. The formation energy is -4.12 eV per formula unit.

a b c (Å): 4.2575 4.2575 20.7322
angles (deg): 90.00 90.00 120.00
Space group P6_3/mmc (No. 194)
Inequivalent atoms, fractional coordinates:
Pr (0.0000, 0.0000, 0.0000)
Cd (0.3333, 0.6667, 0.1259)
Cd (0.3333, 0.6667, 0.7500)
P (0.3333, 0.6667, 0.2500)
P (0.3333, 0.6667, 0.5785)

***

Record 4
## CdP2Pt (SCAN)

Data for a crystal of CdP2Pt relaxed with PBEsol.

The total energy comes out at -243.4 eV/cell. The formation energy is -0.32 eV per formula unit.

a b c (Å): 3.930 4.012 10.062
angles (deg): 90.00 90.00 90.00
Space group Amm2 (No. 38)
Inequivalent atoms, fractional coordinates:
Cd (0.000, 0.000, 0.000)
P (0.500, 0.000, 0.174)
P (0.500, 0.000, 0.412)
Pt (0.500, 0.000, 0.795)

***

Record 5
## CdP2Pt (SCAN)

Data for a crystal of CdP2Pt relaxed with PBEsol.

The total energy comes out at -121.7 eV/cell. The formation energy is -0.28 eV per formula unit.

a b c (Å): 3.876 3.241 5.917
angles (deg): 90.00 108.00 90.00
Space group Pm (No. 6)
Inequivalent atoms, fractional coordinates:
Cd (0.000, 0.000, 0.000)
P (0.422, 0.000, 0.451)
P (0.806, 0.500, 0.463)
Pt (0.386, 0.500, 0.754)

***

Record 6
## Cd2PPt (SCAN)

Data for a crystal of Cd2PPt relaxed with PBEsol.

The total energy comes out at -282.2 eV/cell. The formation energy is 0.30 eV per formula unit.

a b c (Å): 4.053 4.053 8.301
angles (deg): 90.00 90.00 90.00
Space group I4/mmm (No. 139)
Inequivalent atoms, fractional coordinates:
Cd (0.000, 0.500, 0.250)
P (0.000, 0.000, 0.000)
Pt (0.000, 0.000, 0.500)

***

Record 7
## CdP2Pt (SCAN)

Data for a crystal of CdP2Pt relaxed with PBEsol.

The total energy comes out at -239.8 eV/cell. The formation energy is 1.50 eV per formula unit.

a b c (Å): 4.844 4.844 5.500
angles (deg): 90.00 90.00 90.00
Space group I4/mmm (No. 139)
Inequivalent atoms, fractional coordinates:
Cd (0.000, 0.000, 0.000)
P (0.000, 0.500, 0.250)
Pt (0.000, 0.000, 0.500)

***

Record 8
## CdP2Pt (SCAN)

Data for a crystal of CdP2Pt relaxed with PBEsol.

The total energy comes out at -364.9 eV/cell. The formation energy is -0.24 eV per formula unit.

a b c (Å): 3.2698 3.2698 21.0514
angles (deg): 90.00 90.00 120.00
Space group R3m (No. 160, hexagonal axes)
Inequivalent atoms, fractional coordinates:
Cd (0.0000, 0.0000, 0.0000)
P (0.0000, 0.0000, 0.4952)
P (0.0000, 0.0000, 0.7636)
Pt (0.0000, 0.0000, 0.2329)